Entry 1:
Density functional theory data (PBE-GGA) for a relaxed ScGaP2Cl crystal.

```
data_ScGaP2Cl
_symmetry_space_group_name_H-M 'P 4/m m m'
_symmetry_Int_Tables_number 123
_symmetry_space_group_name_Hall '-P 4 2'
_cell_length_a 5.025
_cell_length_b 5.025
_cell_length_c 5.018
_cell_angle_alpha 90.00
_cell_angle_beta 90.00
_cell_angle_gamma 90.00
loop_
_atom_site_label
_atom_site_type_symbol
_atom_site_fract_x
_atom_site_fract_y
_atom_site_fract_z
Sc1 Sc 0.000 0.000 0.000
Ga1 Ga 0.500 0.500 0.500
P1 P 0.000 0.500 0.000
Cl1 Cl 0.000 0.000 0.500
```

Computed properties:
**Formation energy (no corrections)**: -0.13 eV/atom
**M_tot**: 0.105 μB per atom
**Excess energy over the best structure of this formula in the dataset**: 0.000 eV per formula unit
**Raw total energy**: -22.7 eV/f.u.

=====

Entry 2:
Density functional theory data (PBE-GGA) for a relaxed Ba2TaNi crystal.

```
data_Ba2TaNi
_symmetry_space_group_name_H-M 'P m m m'
_symmetry_Int_Tables_number 47
_symmetry_space_group_name_Hall '-P 2 2'
_cell_length_a 3.929
_cell_length_b 5.014
_cell_length_c 5.463
_cell_angle_alpha 90.00
_cell_angle_beta 90.00
_cell_angle_gamma 90.00
loop_
_atom_site_label
_atom_site_type_symbol
_atom_site_fract_x
_atom_site_fract_y
_atom_site_fract_z
Ba1 Ba 0.000 0.000 0.000
Ba2 Ba 0.500 0.000 0.500
Ta1 Ta 0.000 0.500 0.500
Ni1 Ni 0.500 0.500 0.000
```

Computed properties:
**M_tot**: 0.001 μB per atom
**Excess energy over the best structure of this formula in the dataset**: 3.092 eV per formula unit
**Raw total energy**: -16.7 eV/f.u.
**E_form**: 1201 meV/atom

=====

Entry 3:
Density functional theory data (PBE-GGA) for a relaxed Lu2BiRh crystal.

```
data_Lu2BiRh
_symmetry_space_group_name_H-M 'P 4/m m m'
_symmetry_Int_Tables_number 123
_symmetry_space_group_name_Hall '-P 4 2'
_cell_length_a 3.513
_cell_length_b 3.513
_cell_length_c 7.630
_cell_angle_alpha 90.00
_cell_angle_beta 90.00
_cell_angle_gamma 90.00
loop_
_atom_site_label
_atom_site_type_symbol
_atom_site_fract_x
_atom_site_fract_y
_atom_site_fract_z
Lu1 Lu 0.000 0.000 0.208
Bi1 Bi 0.500 0.500 0.500
Rh1 Rh 0.500 0.500 0.000
```

Computed properties:
**M_tot**: 0.000 μB per atom
**Raw total energy**: -23.2 eV/f.u.
**E_form**: -728 meV/atom

=====

Entry 4:
Density functional theory data (PBE-GGA) for a relaxed Ti8In2Sb crystal.

```
data_Ti8In2Sb
_symmetry_space_group_name_H-M 'C 1 2/m 1'
_symmetry_Int_Tables_number 12
_symmetry_space_group_name_Hall '-C 2y'
_cell_length_a 15.214
_cell_length_b 3.997
_cell_length_c 6.895
_cell_angle_alpha 90.00
_cell_angle_beta 107.02
_cell_angle_gamma 90.00
loop_
_atom_site_label
_atom_site_type_symbol
_atom_site_fract_x
_atom_site_fract_y
_atom_site_fract_z
Ti1 Ti 0.051 0.000 0.230
Ti2 Ti 0.080 0.500 0.942
Ti3 Ti 0.130 0.000 0.683
Ti4 Ti 0.181 0.500 0.428
In1 In 0.225 0.000 0.141
Sb1 Sb 0.000 0.500 0.500
```

Computed properties:
**Formation energy (no corrections)**: -0.19 eV/atom
**M_tot**: 0.000 μB per atom
**Raw total energy**: -74.9 eV/f.u.

=====

Entry 5:
Density functional theory data (PBE-GGA) for a relaxed BaGePd4 crystal.

```
data_BaGePd4
_symmetry_space_group_name_H-M 'P m m a'
_symmetry_Int_Tables_number 51
_symmetry_space_group_name_Hall '-P 2a 2a'
_cell_length_a 7.937
_cell_length_b 4.056
_cell_length_c 7.612
_cell_angle_alpha 90.00
_cell_angle_beta 90.00
_cell_angle_gamma 90.00
loop_
_atom_site_label
_atom_site_type_symbol
_atom_site_fract_x
_atom_site_fract_y
_atom_site_fract_z
Ba1 Ba 0.250 0.000 0.123
Ge1 Ge 0.250 0.000 0.689
Pd1 Pd 0.000 0.000 0.500
Pd2 Pd 0.065 0.500 0.766
Pd3 Pd 0.250 0.500 0.447
```

Computed properties:
**M_tot**: 0.000 μB per atom
**Excess energy over the best structure of this formula in the dataset**: 0.094 eV per formula unit
**Raw total energy**: -30.1 eV/f.u.
**E_form**: -471 meV/atom

=====

Entry 6:
Density functional theory data (PBE-GGA) for a relaxed Ho3In4Sn2 crystal.

```
data_Ho3In4Sn2
_symmetry_space_group_name_H-M 'P -6 2 m'
_symmetry_Int_Tables_number 189
_symmetry_space_group_name_Hall 'P -6 -2'
_cell_length_a 7.9253
_cell_length_b 7.9253
_cell_length_c 4.3200
_cell_angle_alpha 90.00
_cell_angle_beta 90.00
_cell_angle_gamma 120.00
loop_
_atom_site_label
_atom_site_type_symbol
_atom_site_fract_x
_atom_site_fract_y
_atom_site_fract_z
Ho1 Ho 0.0000 0.6097 0.0000
In1 In 0.0000 0.0000 0.0000
In2 In 0.0000 0.2643 0.5000
Sn1 Sn 0.3333 0.6667 0.5000
```

Computed properties:
**M_tot**: 0.000 μB per atom
**Raw total energy**: -36.1 eV/f.u.
**E_form**: -383 meV/atom

=====

Entry 7:
Density functional theory data (PBE-GGA) for a relaxed ZrMnAl2 crystal.

```
data_ZrMnAl2
_symmetry_space_group_name_H-M 'A m m 2'
_symmetry_Int_Tables_number 38
_symmetry_space_group_name_Hall 'A 2 -2'
_cell_length_a 4.221
_cell_length_b 3.023
_cell_length_c 10.807
_cell_angle_alpha 90.00
_cell_angle_beta 90.00
_cell_angle_gamma 90.00
loop_
_atom_site_label
_atom_site_type_symbol
_atom_site_fract_x
_atom_site_fract_y
_atom_site_fract_z
Zr1 Zr 0.000 0.000 0.000
Mn1 Mn 0.500 0.000 0.333
Al1 Al 0.000 0.000 0.745
Al2 Al 0.500 0.000 0.606
```

Computed properties:
**M_tot**: 0.699 μB per atom
**Raw total energy**: -25.9 eV/f.u.
**E_form**: -182 meV/atom

=====

Entry 8:
Density functional theory data (PBE-GGA) for a relaxed La4TlTe crystal.

```
data_La4TlTe
_symmetry_space_group_name_H-M 'P n m a'
_symmetry_Int_Tables_number 62
_symmetry_space_group_name_Hall '-P 2ac 2n'
_cell_length_a 7.758
_cell_length_b 4.870
_cell_length_c 21.972
_cell_angle_alpha 90.00
_cell_angle_beta 90.00
_cell_angle_gamma 90.00
loop_
_atom_site_label
_atom_site_type_symbol
_atom_site_fract_x
_atom_site_fract_y
_atom_site_fract_z
La1 La 0.063 0.250 0.077
La2 La 0.073 0.250 0.784
La3 La 0.074 0.250 0.360
La4 La 0.151 0.250 0.538
Tl1 Tl 0.219 0.250 0.933
Te1 Te 0.211 0.250 0.218
```

Computed properties:
**Formation energy (no corrections)**: -0.61 eV/atom
**M_tot**: 0.052 μB per atom
**Excess energy over the best structure of this formula in the dataset**: 0.000 eV per formula unit
**Raw total energy**: -28.9 eV/f.u.

=====

Entry 9:
Density functional theory data (PBE-GGA) for a relaxed Ba3Sn2O7 crystal.

```
data_Ba3Sn2O7
_symmetry_space_group_name_H-M 'C m m m'
_symmetry_Int_Tables_number 65
_symmetry_space_group_name_Hall '-C 2 2'
_cell_length_a 4.206
_cell_length_b 23.134
_cell_length_c 4.142
_cell_angle_alpha 90.00
_cell_angle_beta 90.00
_cell_angle_gamma 90.00
loop_
_atom_site_label
_atom_site_type_symbol
_atom_site_fract_x
_atom_site_fract_y
_atom_site_fract_z
Ba1 Ba 0.000 0.000 0.000
Ba2 Ba 0.000 0.175 0.000
Sn1 Sn 0.000 0.408 0.500
O1 O 0.000 0.090 0.500
O2 O 0.000 0.319 0.500
O3 O 0.000 0.409 0.000
O4 O 0.000 0.500 0.500
```

Computed properties:
**Formation energy (no corrections)**: -2.18 eV/atom
**M_tot**: 0.000 μB per atom
**Excess energy over the best structure of this formula in the dataset**: 0.925 eV per formula unit
**Raw total energy**: -74.7 eV/f.u.

=====

Entry 10:
Density functional theory data (PBE-GGA) for a relaxed PaH3Se crystal.

```
data_PaH3Se
_symmetry_space_group_name_H-M 'C 1 m 1'
_symmetry_Int_Tables_number 8
_symmetry_space_group_name_Hall 'C -2y'
_cell_length_a 5.664
_cell_length_b 5.454
_cell_length_c 4.085
_cell_angle_alpha 90.00
_cell_angle_beta 103.89
_cell_angle_gamma 90.00
loop_
_atom_site_label
_atom_site_type_symbol
_atom_site_fract_x
_atom_site_fract_y
_atom_site_fract_z
Pa1 Pa 0.000 0.000 0.000
H1 H 0.087 0.000 0.531
H2 H 0.268 0.201 0.853
Se1 Se 0.092 0.500 0.341
```

Computed properties:
**M_tot**: 0.000 μB per atom
**Raw total energy**: -25.3 eV/f.u.

=====

Entry 11:
Density functional theory data (PBE-GGA) for a relaxed TlTc2Sb crystal.

```
data_TlTc2Sb
_symmetry_space_group_name_H-M 'C 1 2/m 1'
_symmetry_Int_Tables_number 12
_symmetry_space_group_name_Hall '-C 2y'
_cell_length_a 6.278
_cell_length_b 8.701
_cell_length_c 3.118
_cell_angle_alpha 90.00
_cell_angle_beta 116.97
_cell_angle_gamma 90.00
loop_
_atom_site_label
_atom_site_type_symbol
_atom_site_fract_x
_atom_site_fract_y
_atom_site_fract_z
Tl1 Tl 0.000 0.000 0.000
Tc1 Tc 0.250 0.250 0.500
Sb1 Sb 0.000 0.500 0.000
```

Computed properties:
**Formation energy (no corrections)**: 0.74 eV/atom
**M_tot**: 0.000 μB per atom
**Excess energy over the best structure of this formula in the dataset**: 2.058 eV per formula unit
**Raw total energy**: -24.3 eV/f.u.

=====

Entry 12:
Density functional theory data (PBE-GGA) for a relaxed Ba2NaCuH6 crystal.

```
data_Ba2NaCuH6
_symmetry_space_group_name_H-M 'F m -3 m'
_symmetry_Int_Tables_number 225
_symmetry_space_group_name_Hall '-F 4 2 3'
_cell_length_a 8.173
_cell_length_b 8.173
_cell_length_c 8.173
_cell_angle_alpha 90.00
_cell_angle_beta 90.00
_cell_angle_gamma 90.00
loop_
_atom_site_label
_atom_site_type_symbol
_atom_site_fract_x
_atom_site_fract_y
_atom_site_fract_z
Ba1 Ba 0.250 0.250 0.250
Na1 Na 0.000 0.000 0.000
Cu1 Cu 0.000 0.000 0.500
H1 H 0.000 0.000 0.275
```

Computed properties:
**M_tot**: 0.000 μB per atom
**Raw total energy**: -32.7 eV/f.u.

=====

Entry 13:
Density functional theory data (PBE-GGA) for a relaxed Pr3Ho3In2 crystal.

```
data_Pr3Ho3In2
_symmetry_space_group_name_H-M 'P m m m'
_symmetry_Int_Tables_number 47
_symmetry_space_group_name_Hall '-P 2 2'
_cell_length_a 4.893
_cell_length_b 4.912
_cell_length_c 9.958
_cell_angle_alpha 90.00
_cell_angle_beta 90.00
_cell_angle_gamma 90.00
loop_
_atom_site_label
_atom_site_type_symbol
_atom_site_fract_x
_atom_site_fract_y
_atom_site_fract_z
Pr1 Pr 0.000 0.000 0.000
Pr2 Pr 0.000 0.000 0.500
Pr3 Pr 0.500 0.500 0.000
Ho1 Ho 0.500 0.000 0.253
Ho2 Ho 0.500 0.500 0.500
In1 In 0.000 0.500 0.255
```

Computed properties:
**M_tot**: 0.000 μB per atom
**Excess energy over the best structure of this formula in the dataset**: 0.000 eV per formula unit
**Raw total energy**: -35.6 eV/f.u.
**E_form**: -262 meV/atom

=====

Entry 14:
Density functional theory data (PBE-GGA) for a relaxed LuThTcOs crystal.

```
data_LuThTcOs
_symmetry_space_group_name_H-M 'F -4 3 m'
_symmetry_Int_Tables_number 216
_symmetry_space_group_name_Hall 'F -4 2 3'
_cell_length_a 6.899
_cell_length_b 6.899
_cell_length_c 6.899
_cell_angle_alpha 90.00
_cell_angle_beta 90.00
_cell_angle_gamma 90.00
loop_
_atom_site_label
_atom_site_type_symbol
_atom_site_fract_x
_atom_site_fract_y
_atom_site_fract_z
Lu1 Lu 0.000 0.000 0.000
Th1 Th 0.000 0.000 0.500
Tc1 Tc 0.250 0.250 0.750
Os1 Os 0.250 0.250 0.250
```

Computed properties:
**M_tot**: 0.000 μB per atom
**Raw total energy**: -34.3 eV/f.u.
**E_form**: -190 meV/atom

=====

Entry 15:
Density functional theory data (PBE-GGA) for a relaxed BaScAs2 crystal.

```
data_BaScAs2
_symmetry_space_group_name_H-M 'I m m m'
_symmetry_Int_Tables_number 71
_symmetry_space_group_name_Hall '-I 2 2'
_cell_length_a 4.561
_cell_length_b 6.373
_cell_length_c 7.778
_cell_angle_alpha 90.00
_cell_angle_beta 90.00
_cell_angle_gamma 90.00
loop_
_atom_site_label
_atom_site_type_symbol
_atom_site_fract_x
_atom_site_fract_y
_atom_site_fract_z
Ba1 Ba 0.000 0.000 0.000
Sc1 Sc 0.000 0.000 0.500
As1 As 0.000 0.500 0.202
```

Computed properties:
**M_tot**: 0.000 μB per atom
**Excess energy over the best structure of this formula in the dataset**: 1.113 eV per formula unit
**Raw total energy**: -20.6 eV/f.u.
**E_form**: -754 meV/atom

=====

Entry 16:
Density functional theory data (PBE-GGA) for a relaxed BeNb2IN crystal.

```
data_BeNb2IN
_symmetry_space_group_name_H-M 'P 4/m m m'
_symmetry_Int_Tables_number 123
_symmetry_space_group_name_Hall '-P 4 2'
_cell_length_a 4.605
_cell_length_b 4.605
_cell_length_c 3.356
_cell_angle_alpha 90.00
_cell_angle_beta 90.00
_cell_angle_gamma 90.00
loop_
_atom_site_label
_atom_site_type_symbol
_atom_site_fract_x
_atom_site_fract_y
_atom_site_fract_z
Be1 Be 0.000 0.000 0.000
Nb1 Nb 0.000 0.500 0.500
I1 I 0.500 0.500 0.000
N1 N 0.000 0.000 0.500
```

Computed properties:
**Formation energy (no corrections)**: 0.08 eV/atom
**M_tot**: 0.000 μB per atom
**Raw total energy**: -33.3 eV/f.u.

=====

Entry 17:
Density functional theory data (PBE-GGA) for a relaxed ScTlSnI6 crystal.

```
data_ScTlSnI6
_symmetry_space_group_name_H-M 'P -3 1 c'
_symmetry_Int_Tables_number 163
_symmetry_space_group_name_Hall '-P 3 2c'
_cell_length_a 7.9067
_cell_length_b 7.9067
_cell_length_c 15.0093
_cell_angle_alpha 90.00
_cell_angle_beta 90.00
_cell_angle_gamma 120.00
loop_
_atom_site_label
_atom_site_type_symbol
_atom_site_fract_x
_atom_site_fract_y
_atom_site_fract_z
Sc1 Sc 0.3333 0.6667 0.2500
Tl1 Tl 0.0000 0.0000 0.0000
Sn1 Sn 0.3333 0.6667 0.7500
I1 I 0.0264 0.3776 0.1362
```

Computed properties:
**Formation energy (no corrections)**: -0.86 eV/atom
**M_tot**: 0.000 μB per atom
**Raw total energy**: -29.7 eV/f.u.

=====

Entry 18:
Density functional theory data (PBE-GGA) for a relaxed ScFe2Pb crystal.

```
data_ScFe2Pb
_symmetry_space_group_name_H-M 'I -4 m 2'
_symmetry_Int_Tables_number 119
_symmetry_space_group_name_Hall 'I -4 -2'
_cell_length_a 4.163
_cell_length_b 4.163
_cell_length_c 7.888
_cell_angle_alpha 90.00
_cell_angle_beta 90.00
_cell_angle_gamma 90.00
loop_
_atom_site_label
_atom_site_type_symbol
_atom_site_fract_x
_atom_site_fract_y
_atom_site_fract_z
Sc1 Sc 0.000 0.000 0.000
Fe1 Fe 0.000 0.000 0.500
Fe2 Fe 0.000 0.500 0.750
Pb1 Pb 0.000 0.500 0.250
```

Computed properties:
**M_tot**: 1.059 μB per atom
**Raw total energy**: -26.3 eV/f.u.
**E_form**: 165 meV/atom

=====

Entry 19:
Density functional theory data (PBE-GGA) for a relaxed BaSrI crystal.

```
data_BaSrI
_symmetry_space_group_name_H-M 'A m m 2'
_symmetry_Int_Tables_number 38
_symmetry_space_group_name_Hall 'A 2 -2'
_cell_length_a 17.327
_cell_length_b 4.414
_cell_length_c 7.649
_cell_angle_alpha 90.00
_cell_angle_beta 90.00
_cell_angle_gamma 90.00
loop_
_atom_site_label
_atom_site_type_symbol
_atom_site_fract_x
_atom_site_fract_y
_atom_site_fract_z
Ba1 Ba 0.208 0.000 0.000
Sr1 Sr 0.000 0.000 0.668
Sr2 Sr 0.500 0.000 0.999
I1 I 0.367 0.000 0.666
```

Computed properties:
**Formation energy (no corrections)**: -0.78 eV/atom
**M_tot**: 0.180 μB per atom
**Excess energy over the best structure of this formula in the dataset**: 0.082 eV per formula unit
**Raw total energy**: -7.5 eV/f.u.

=====

Entry 20:
Density functional theory data (PBE-GGA) for a relaxed CeGa2Ni2Ir crystal.

```
data_CeGa2Ni2Ir
_symmetry_space_group_name_H-M 'P 4/m m m'
_symmetry_Int_Tables_number 123
_symmetry_space_group_name_Hall '-P 4 2'
_cell_length_a 4.728
_cell_length_b 4.728
_cell_length_c 5.201
_cell_angle_alpha 90.00
_cell_angle_beta 90.00
_cell_angle_gamma 90.00
loop_
_atom_site_label
_atom_site_type_symbol
_atom_site_fract_x
_atom_site_fract_y
_atom_site_fract_z
Ce1 Ce 0.000 0.000 0.000
Ga1 Ga 0.000 0.500 0.500
Ni1 Ni 0.500 0.500 0.245
Ir1 Ir 0.000 0.000 0.500
```

Computed properties:
**M_tot**: 0.055 μB per atom
**Raw total energy**: -33.1 eV/f.u.
**E_form**: -112 meV/atom